(1)
Below is a relaxed NaMnGa2Cl8 crystal, with properties calculated at the GGA-PBE level.

extended XYZ file:
```
12
Lattice="-2.0249 1.5373 6.1244 -0.0818 -6.3114 -2.0327 8.1731 -1.0621 2.9688" Properties=species:S:1:pos:R:3 pbc="T T T"
Ga 0.6557 -1.3431 4.1438
Mn 4.0866 -0.5310 1.4844
Cl 1.2172 0.5990 5.2555
Na 0.0000 0.0000 0.0000
Cl -0.6901 -3.7003 0.7006
Cl 0.6191 -3.1686 5.5542
Cl 4.8493 -6.4352 1.8050
Cl 6.7566 -2.1359 6.3599
Cl 1.9926 -1.7017 2.2979
Cl 5.4474 -2.6676 1.5063
Cl 4.0739 -4.1345 4.7626
Ga 5.4108 -4.4931 2.9167
```

Calculated values
The space group is P-3, No. 147. The volume comes out at 333.6 Å³ per cell. The density is 2.49 g/cm3. As for the raw total energy: -43.97 eV/cell.

***

(2)
Below is a relaxed RuRh2Au crystal, with properties calculated at the GGA-PBE level.

extended XYZ file:
```
4
Lattice="2.7702 0.0000 0.0000 0.0000 4.7548 0.0000 0.0000 0.0000 4.6673" Properties=species:S:1:pos:R:3 pbc="T T T"
Rh 1.3851 2.3774 0.0000
Au 0.0000 2.3774 2.3336
Rh 0.0000 0.0000 0.0000
Ru 1.3851 0.0000 2.3336
```

Calculated values
The space group is Pmmm, No. 47. The volume comes out at 61.5 Å³ per cell. The density is 13.61 g/cm3. As for the raw total energy: -25.62 eV/cell.